Record 1
Below is Ti5Ga6Mo after structural relaxation, with properties calculated at the PBE level.

extended XYZ file:
```
12
Lattice="-4.0727 3.6912 4.0581 -2.4367 -5.3262 3.9143 1.9935 -2.1239 4.6902" Properties=species:S:1:pos:R:3 pbc="T T T"
Ti -1.1198 -0.4591 5.8028
Ti -0.0839 -2.4727 2.9225
Ti -3.2547 -0.8175 3.9862
Ti -0.3593 -4.9775 5.6821
Ti -3.3961 -3.2998 6.8598
Ga -2.6224 1.6033 4.9018
Ga -1.8122 -2.8899 4.8361
Ga -1.6128 -0.4340 1.9810
Ga -4.8967 -1.2009 5.9914
Ga -2.7038 -0.8689 7.8265
Ga -1.8936 -5.3622 7.7607
Mo 0.0000 0.0000 0.0000
```

DFT total energy (eV/atom): -5.867
Formation energy from the elements (kJ/mol of atoms): -15.6
Density (Mg/m³): 6.17
Magnetization (μB/atom): 0.000
Symmetry: C2/m (12)



Record 2
Below is RbNa2Hg4 after structural relaxation, with properties calculated at the PBE level.

extended XYZ file:
```
7
Lattice="-2.7231 -4.2697 1.0461 3.0748 -2.2443 -1.1564 3.6254 3.2922 10.0944" Properties=species:S:1:pos:R:3 pbc="T T T"
Rb -1.3615 -2.1349 0.5230
Na 2.4808 -3.2357 6.0322
Na 1.4963 0.0139 3.9518
Hg 1.3695 -3.2460 3.0972
Hg 2.6077 0.0242 6.8868
Hg 2.1337 -1.1166 0.9965
Hg 1.8435 -2.1052 8.9875
```

DFT total energy (eV/atom): -0.919
Formation energy from the elements (kJ/mol of atoms): -22.3
Density (Mg/m³): 7.02
Magnetization (μB/atom): 0.000
Symmetry: Immm (71)



Record 3
Below is Co2Ni2Sn after structural relaxation, with properties calculated at the PBE level.

extended XYZ file:
```
5
Lattice="-3.2951 -0.2311 0.5682 0.6125 -1.4052 2.9806 -1.2816 4.7204 4.3733" Properties=species:S:1:pos:R:3 pbc="T T T"
Ni -1.3290 0.3253 2.3109
Ni -2.6352 2.7589 5.6111
Co -2.9590 1.8356 3.3579
Co -1.0052 1.2485 4.5641
Sn 0.0000 0.0000 0.0000
```

E above lowest polymorph (meV per atom): 20
DFT total energy (eV/atom): -5.736
Formation energy from the elements (kJ/mol of atoms): 21.2
Density (Mg/m³): 8.55
Magnetization (μB/atom): 0.766
Symmetry: I4/mmm (139)



Record 4
Below is RbCrP after structural relaxation, with properties calculated at the PBE level.

extended XYZ file:
```
6
Lattice="-3.1783 0.3680 1.9053 0.0015 -3.6559 0.7096 7.5568 3.5769 8.8482" Properties=species:S:1:pos:R:3 pbc="T T T"
Rb 0.7801 -2.9394 2.5924
Rb 4.4069 1.8499 7.7156
Cr 1.0084 1.4673 5.7491
Cr 2.5942 -0.5432 5.1531
P 1.7897 -0.1155 7.3677
P 0.2202 -0.6057 4.8450
```

E above lowest polymorph (meV per atom): 159
DFT total energy (eV/atom): -5.448
Formation energy from the elements (kJ/mol of atoms): -11.1
Density (Mg/m³): 3.38
Magnetization (μB/atom): 0.341
Symmetry: P1 (1)



Record 5
Below is MgCdPb after structural relaxation, with properties calculated at the PBE level.

extended XYZ file:
```
3
Lattice="-4.2183 -0.4746 -5.4053 0.4349 -0.4695 -6.8430 1.9469 -1.9565 6.2943" Properties=species:S:1:pos:R:3 pbc="T T T"
Pb -2.5332 -0.6321 -8.2007
Mg -1.2988 -0.3241 -4.2046
Cd -3.7349 -0.9320 -12.0913
```

DFT total energy (eV/atom): -2.092
Formation energy from the elements (kJ/mol of atoms): -1.9
Density (Mg/m³): 7.49
Magnetization (μB/atom): 0.000
Symmetry: I4mm (107)



Record 6
Below is EuScAl after structural relaxation, with properties calculated at the PBE level.

extended XYZ file:
```
3
Lattice="3.0634 0.0000 0.0000 0.0000 5.1299 0.0000 0.0000 -2.5650 4.4427" Properties=species:S:1:pos:R:3 pbc="T T T"
Eu 0.5164 0.0000 0.0000
Sc 0.5031 0.0000 2.9618
Al 2.0438 2.5650 1.4809
```

E above lowest polymorph (meV per atom): 144
DFT total energy (eV/atom): -6.786
Formation energy from the elements (kJ/mol of atoms): -0.3
Density (Mg/m³): 5.33
Magnetization (μB/atom): 2.439
Symmetry: P3m1 (156)



Record 7
Below is AgOsW2 after structural relaxation, with properties calculated at the PBE level.

extended XYZ file:
```
4
Lattice="4.9146 -0.0038 -0.0093 1.7564 4.5900 0.0093 -3.3307 -2.3001 2.7873" Properties=species:S:1:pos:R:3 pbc="T T T"
Os 0.8806 2.2915 1.3983
Ag 2.4597 -0.0054 1.3890
W 6.6709 4.5861 0.0000
W 3.3356 2.2932 0.0000
```

E above lowest polymorph (meV per atom): 168
DFT total energy (eV/atom): -9.467
Formation energy from the elements (kJ/mol of atoms): 51.1
Density (Mg/m³): 17.58
Magnetization (μB/atom): 0.000
Symmetry: I4/mmm (139)



Record 8
Below is VH2Pd after structural relaxation, with properties calculated at the PBE level.

extended XYZ file:
```
8
Lattice="-0.2121 -3.0669 -2.8209 2.8764 1.9359 -2.3209 4.3024 -2.5977 -0.5848" Properties=species:S:1:pos:R:3 pbc="T T T"
H 1.3064 -2.2696 -2.1492
H 2.8431 0.1225 -1.9996
H 4.2771 -2.3380 -2.4081
H 5.5069 -2.9724 -4.8964
Pd 0.0000 0.0000 0.0000
Pd 2.7112 -3.1150 -2.9883
V 1.3322 -0.5655 -2.5709
V 4.2555 -0.6137 -2.7384
```

E above lowest polymorph (meV per atom): 138
DFT total energy (eV/atom): -5.296
Density (Mg/m³): 7.40
Magnetization (μB/atom): 0.000
Symmetry: I-42d (122)



Record 9
Below is BPS4 after structural relaxation, with properties calculated at the PBE level.

extended XYZ file:
```
12
Lattice="5.8594 -0.0723 0.4227 1.9153 5.5380 0.4227 1.4031 0.9864 8.0595" Properties=species:S:1:pos:R:3 pbc="T T T"
B 3.6312 0.4570 4.2411
B 0.9576 2.7690 0.2114
P 2.5271 5.4132 2.4376
P 6.6506 1.0388 6.4674
S 3.0041 1.3403 5.6446
S 3.6054 4.7038 4.0231
S 5.5723 1.7482 4.8819
S 1.5765 1.8799 1.6149
S 7.6012 4.5721 7.2901
S 2.8296 4.1584 0.8522
S 6.3481 2.2936 8.0528
S 6.1736 5.1117 3.2604
```

Raw formation energy (kJ per mole of atoms): 8
DFT total energy (eV/atom): -4.680
Density (Mg/m³): 2.19
Magnetization (μB/atom): 0.000
Symmetry: C2/c (15)



Record 10
Below is SrBi2Pt2 after structural relaxation, with properties calculated at the PBE level.

extended XYZ file:
```
5
Lattice="4.9652 0.0000 0.0000 0.0000 4.9652 0.0000 2.4826 2.4826 5.3614" Properties=species:S:1:pos:R:3 pbc="T T T"
Sr 0.0000 0.0000 0.0000
Bi 4.9652 2.4826 2.6807
Bi 2.4826 4.9652 2.6807
Pt 2.4826 2.4826 1.3260
Pt 4.9652 4.9652 4.0354
```

DFT total energy (eV/atom): -4.818
Formation energy from the elements (kJ/mol of atoms): -49.5
Density (Mg/m³): 11.25
Magnetization (μB/atom): 0.000
Symmetry: I4/mmm (139)



Record 11
Below is Tb2Pr2Th3 after structural relaxation, with properties calculated at the PBE level.

extended XYZ file:
```
7
Lattice="3.5330 0.0000 -0.4263 0.0000 3.5663 0.0000 0.4585 0.0000 18.6539" Properties=species:S:1:pos:R:3 pbc="T T T"
Tb 0.6037 0.0000 5.0038
Tb 3.3878 0.0000 13.2239
Pr 1.3013 1.7832 10.7855
Pr 2.6902 1.7832 7.4421
Th 1.9235 1.7832 15.9420
Th 2.0680 1.7832 2.2856
Th 0.0000 0.0000 0.0000
```

DFT total energy (eV/atom): -5.796
Formation energy from the elements (kJ/mol of atoms): 7.0
Density (Mg/m³): 9.13
Magnetization (μB/atom): 0.000
Symmetry: Cmmm (65)



Record 12
Below is AlV2W after structural relaxation, with properties calculated at the PBE level.

extended XYZ file:
```
4
Lattice="3.1646 0.0000 0.0000 0.0000 3.1646 0.0000 0.0000 0.0000 5.8377" Properties=species:S:1:pos:R:3 pbc="T T T"
Al 1.5823 1.5823 2.9188
W 1.5823 1.5823 0.0000
V 0.0000 0.0000 4.4182
V 0.0000 0.0000 1.4195
```

DFT total energy (eV/atom): -8.874
Formation energy from the elements (kJ/mol of atoms): -13.6
Density (Mg/m³): 8.88
Magnetization (μB/atom): 0.000
Symmetry: P4/mmm (123)